## Zn2CuPt (SCAN)

Data for Zn2CuPt at its PBEsol-relaxed geometry. Values from VASP.

Cell and atoms, written as Quantum ESPRESSO input:
```
&SYSTEM
  ibrav = 0, nat = 4, ntyp = 3
/
ATOMIC_SPECIES
Pt 195.08 Pt.upf
Zn 65.41 Zn.upf
Cu 63.55 Cu.upf
ATOMIC_POSITIONS angstrom
Pt 4.222 2.438 1.724
Zn 2.111 1.219 0.862
Zn 6.334 3.657 2.586
Cu 0.000 0.000 0.000
CELL_PARAMETERS angstrom
4.222 0.000 0.000
2.111 3.657 0.000
2.111 1.219 3.448
```

Results
Energy relative to the elements = -1.5 eV per formula unit
Total energy = -28.491 eV/atom